# NbVPbO6

A relaxed NbVPbO6 crystal (PBE+U, Alexandria via LeMat-Bulk).

Values from the calculation:
As for the raw total energy: -7.673 eV per atom. As for the volume: 14.3 Å³ per atom. The calculation puts the density at 5.77 Mg/m³. The value obtained for the density of states at the Fermi level is 0.00 states/eV/cell.

Lattice parameters (Å, degrees): 5.252 5.252 5.388 90.00 90.00 120.00
Atoms (fractional coordinates):
1 Nb 0.000 0.000 0.000
2 V 0.667 0.333 0.904
3 Pb 0.333 0.667 0.444
4 O 0.344 0.281 0.747
5 O 0.349 0.049 0.156
6 O 0.700 0.651 0.156
7 O 0.719 0.063 0.747
8 O 0.937 0.656 0.747
9 O 0.951 0.300 0.156